# 1
3
Lattice="-1.7944 1.7944 4.3282 1.7944 -1.7944 4.3282 1.7944 1.7944 -4.3282" Properties=species:S:1:pos:R:3 comment="LiZnIn (PBE-GGA, relaxed)" dft_energy_ev_per_atom=-2.113 sg="No. 107" pbc="T T T"
Li 0.0000 0.0000 0.0000
Zn 0.0000 0.0000 5.6939
In 0.0000 0.0000 2.8303

***

# 2
4
Lattice="0.0000 3.7259 3.7259 3.7259 0.0000 3.7259 3.7259 3.7259 0.0000" Properties=species:S:1:pos:R:3 comment="CaAuBr2 (PBE-GGA, relaxed)" dft_energy_ev_per_atom=-2.836 sg="No. 216" e_form_raw_ev_per_atom=-0.679 pbc="T T T"
Ca 0.0000 0.0000 0.0000
Au 5.5889 5.5889 5.5889
Br 1.8630 1.8630 1.8630
Br 3.7259 3.7259 3.7259

***

# 3
5
Lattice="5.2265 0.0000 0.0000 0.0000 5.2265 0.0000 0.0000 0.0000 3.6961" Properties=species:S:1:pos:R:3 comment="KPtS2N (PBE-GGA, relaxed)" dft_energy_ev_per_atom=-4.496 sg="No. 123" e_form_raw_ev_per_atom=0.248 pbc="T T T"
K 0.0000 0.0000 0.0000
Pt 2.6133 2.6133 1.8481
S 0.0000 2.6133 1.8481
S 2.6133 0.0000 1.8481
N 2.6133 2.6133 0.0000

***

# 4
6
Lattice="6.5609 -1.7371 0.0000 6.5609 1.7371 0.0000 -3.7506 0.0000 5.9342" Properties=species:S:1:pos:R:3 comment="ErTmF (PBE-GGA, relaxed)" dft_energy_ev_per_atom=-5.184 sg="No. 12" e_form_raw_ev_per_atom=-1.549 pbc="T T T"
Er 2.0380 0.0000 1.5699
Er 7.3331 0.0000 4.3642
Tm 5.6431 0.0000 1.3250
Tm 3.7281 0.0000 4.6091
F -1.2581 0.0000 5.2046
F 10.6292 0.0000 0.7295

***

# 5
4
Lattice="0.0000 3.2074 3.2074 3.2074 0.0000 3.2074 3.2074 3.2074 0.0000" Properties=species:S:1:pos:R:3 comment="HfVW2 (PBE-GGA, relaxed)" dft_energy_ev_per_atom=-11.110 sg="No. 225" pbc="T T T"
Hf 0.0000 0.0000 0.0000
V 3.2074 3.2074 3.2074
W 1.6037 1.6037 1.6037
W 4.8111 4.8111 4.8111

***

# 6
4
Lattice="0.0000 2.8579 2.8579 2.8579 0.0000 2.8579 2.8579 2.8579 0.0000" Properties=species:S:1:pos:R:3 comment="BeFeAsRh (PBE-GGA, relaxed)" dft_energy_ev_per_atom=-6.259 sg="No. 216" pbc="T T T"
Be 0.0000 0.0000 0.0000
Fe 4.2869 4.2869 4.2869
As 2.8579 2.8579 2.8579
Rh 1.4290 1.4290 1.4290

***

# 7
5
Lattice="3.6614 0.0000 0.0000 -1.8307 3.1709 0.0000 0.0000 0.0000 15.3913" Properties=species:S:1:pos:R:3 comment="Ca2Sm2Er (PBE-GGA, relaxed)" dft_energy_ev_per_atom=-3.554 sg="No. 164" pbc="T T T"
Ca 0.0000 2.1139 1.6602
Ca 1.8307 1.0570 13.7310
Sm 0.0000 2.1139 10.5176
Sm 1.8307 1.0570 4.8736
Er 0.0000 0.0000 7.6956

***

# 8
8
Lattice="7.6924 0.0000 0.0000 0.0000 4.1614 0.0000 -2.3233 0.0000 7.8132" Properties=species:S:1:pos:R:3 comment="Pr4NiAsI2 (PBE-GGA, relaxed)" dft_energy_ev_per_atom=-5.036 sg="No. 10" e_form_raw_ev_per_atom=-0.955 pbc="T T T"
Pr 1.1670 0.0000 1.4635
Pr 0.1579 2.0807 6.2533
Pr 5.2112 2.0807 1.5600
Pr 4.2021 0.0000 6.3497
Ni 0.0000 2.0807 0.0000
As 3.8462 0.0000 0.0000
I -1.1617 0.0000 3.9066
I 2.6845 2.0807 3.9066

***

Number 1: magnetization 0.00 μB/f.u.. Number 2: magnetization 0.00 μB/f.u.. Number 3: magnetization 0.41 μB/f.u.. Number 4: magnetization 0.00 μB/f.u.. Number 5: magnetization 0.00 μB/f.u.. Number 6: magnetization 0.15 μB/f.u.. Number 7: magnetization 0.00 μB/f.u.. Number 8: magnetization 0.00 μB/f.u..